1.
This record from Alexandria via LeMat-Bulk describes an optimized crystal structure of Mn2SiI. The functional is PBE.

a b c (Å): 3.4056 3.4955 12.6241
angles (deg): 90.00 90.00 90.00
Closest atoms and distances in Å follow each position.
Atoms (fractional coordinates):
Mn: 0.0000 0.0000 0.0000  4 Si 2.47, 2 Mn 2.68, 1 I 2.71
Mn: 0.0000 0.5000 0.5000  4 Si 2.47, 2 Mn 2.68, 1 I 2.71
Mn: 0.5000 0.0000 0.1635  2 Si 2.44, 2 Mn 2.68
Mn: 0.5000 0.5000 0.6635  2 Si 2.44, 2 Mn 2.68
Si: 0.5000 0.0000 0.5282  6 Mn 2.44-2.47
Si: 0.5000 0.5000 0.0282  6 Mn 2.44-2.47
I: 0.0000 0.0000 0.7854  5 Mn 2.71-2.88
I: 0.0000 0.5000 0.2854  5 Mn 2.71-2.88

- spin magnetization (μB per formula unit) = 5.58
- formation energy without anion corrections (eV/f.u.) = 0.851
- theoretical density (g cm⁻³) = 5.85



2.
This record from Alexandria via LeMat-Bulk describes an optimized crystal structure of Ac2Pm7Dy2. The functional is PBE.

a b c (Å): 7.1613 7.1613 8.3488
angles (deg): 102.82 102.82 78.94
Closest atoms and distances in Å follow each position.
Atoms (fractional coordinates):
Ac: 0.2480 0.2480 0.0642  6 Pm 3.45-3.77, 4 Dy 3.56-3.71
Ac: 0.7520 0.7520 0.9358  6 Pm 3.45-3.77, 4 Dy 3.56-3.71
Pm: 0.0315 0.4159 0.6738  4 Pm 3.29-3.59, 1 Dy 3.46, 2 Ac 3.51-3.64
Pm: 0.0431 0.0431 0.3072  2 Ac 3.45-3.77, 7 Pm 3.47-3.78, 2 Dy 3.59
Pm: 0.4159 0.0315 0.6738  4 Pm 3.29-3.59, 1 Dy 3.46, 2 Ac 3.51-3.64
Pm: 0.5000 0.5000 0.5000  8 Pm 3.74-4.13, 2 Ac 3.90
Pm: 0.5841 0.9685 0.3262  4 Pm 3.29-3.59, 1 Dy 3.46, 2 Ac 3.51-3.64
Pm: 0.9569 0.9569 0.6928  2 Ac 3.45-3.77, 7 Pm 3.47-3.78, 2 Dy 3.59
Pm: 0.9685 0.5841 0.3262  4 Pm 3.29-3.59, 1 Dy 3.46, 2 Ac 3.51-3.64
Dy: 0.2859 0.7141 0.0000  4 Pm 3.46-3.59, 4 Ac 3.56-3.71
Dy: 0.7141 0.2859 0.0000  4 Pm 3.46-3.59, 4 Ac 3.56-3.71

- spin magnetization (μB per formula unit) = 0.00
- theoretical density (g cm⁻³) = 7.40
- DFT formation energy (eV per atom) = 0.201



3.
This record from Alexandria via LeMat-Bulk describes an optimized crystal structure of Pm2ZnRu. The functional is PBE.

a b c (Å): 5.9524 4.2217 8.1560
angles (deg): 90.00 110.66 90.00
Closest atoms and distances in Å follow each position.
Atoms (fractional coordinates):
Pm: 0.1887 0.2500 0.4166  3 Ru 2.94-3.09, 4 Zn 3.08-3.20
Pm: 0.2710 0.7500 0.0582  4 Ru 2.99-3.28, 3 Zn 3.04-3.13
Pm: 0.7290 0.2500 0.9418  4 Ru 2.99-3.28, 3 Zn 3.04-3.13
Pm: 0.8113 0.7500 0.5834  3 Ru 2.94-3.09, 4 Zn 3.08-3.20
Zn: 0.3638 0.7500 0.7148  2 Ru 2.65
Zn: 0.6362 0.2500 0.2852  2 Ru 2.65
Ru: 0.1405 0.2500 0.7814  2 Zn 2.65, 2 Pm 2.94
Ru: 0.8595 0.7500 0.2186  2 Zn 2.65, 2 Pm 2.94

- spin magnetization (μB per formula unit) = 0.00
- theoretical density (g cm⁻³) = 7.91
- DFT formation energy (eV per atom) = -0.306



4.
This record from Alexandria via LeMat-Bulk describes an optimized crystal structure of Pm4Te2AsAu. The functional is PBE.

a b c (Å): 7.6200 4.2970 7.6304
angles (deg): 90.00 108.70 90.00
Closest atoms and distances in Å follow each position.
Atoms (fractional coordinates):
Pm: 0.2275 0.0000 0.2352  2 As 2.97, 1 Au 3.06, 3 Te 3.15-3.21
Pm: 0.2299 0.5000 0.7475  1 As 2.99, 2 Au 3.02, 3 Te 3.17-3.21
Pm: 0.7701 0.5000 0.2525  1 As 2.99, 2 Au 3.02, 3 Te 3.17-3.21
Pm: 0.7725 0.0000 0.7648  2 As 2.97, 1 Au 3.06, 3 Te 3.15-3.21
Te: 0.5000 0.0000 0.0000  6 Pm 3.15-3.17
Te: 0.5000 0.5000 0.5000  6 Pm 3.21
As: 0.0000 0.5000 0.0000  6 Pm 2.97-2.99
Au: 0.0000 0.0000 0.5000  6 Pm 3.02-3.06

- spin magnetization (μB per formula unit) = 0.00
- formation energy without anion corrections (eV/f.u.) = -10.331
- theoretical density (g cm⁻³) = 7.77



5.
This record from Alexandria via LeMat-Bulk describes an optimized crystal structure of Tl2ICl. The functional is PBE.

a b c (Å): 4.0877 4.0877 8.1222
angles (deg): 90.00 90.00 90.00
Closest atoms and distances in Å follow each position.
Atoms (fractional coordinates):
Tl: 0.0000 0.0000 0.2284  4 Cl 3.43, 4 I 3.64, 1 Tl 3.71
Tl: 0.0000 0.0000 0.7716  4 Cl 3.43, 4 I 3.64, 1 Tl 3.71
I: 0.5000 0.5000 0.5000  8 Tl 3.64, 2 Cl 4.06
Cl: 0.5000 0.5000 0.0000  8 Tl 3.43

- spin magnetization (μB per formula unit) = 0.00
- formation energy without anion corrections (eV/f.u.) = -3.109
- theoretical density (g cm⁻³) = 6.99



6.
This record from Alexandria via LeMat-Bulk describes an optimized crystal structure of Ru3AuF. The functional is PBE.

a b c (Å): 4.2457 4.2457 4.2457
angles (deg): 90.00 90.00 90.00
Closest atoms and distances in Å follow each position.
Atoms (fractional coordinates):
Ru: 0.0000 0.0000 0.5000  2 F 2.12
Ru: 0.0000 0.5000 0.0000  2 F 2.12
Ru: 0.5000 0.0000 0.0000  2 F 2.12
Au: 0.5000 0.5000 0.5000  12 Ru 3.00
F: 0.0000 0.0000 0.0000  6 Ru 2.12

- spin magnetization (μB per formula unit) = 4.91
- formation energy without anion corrections (eV/f.u.) = 4.944
- theoretical density (g cm⁻³) = 11.26